(1)
# La2TmSe2S2 GGA-PBE optimized geometry
# * VASP energy: -84.863 eV per cell
# * formation energy without anion corrections: -1.84 eV/atom
# * ρ: 5.755 Mg/m³
data_La2TmSe2S2
_cell_length_a 5.040
_cell_length_b 5.040
_cell_length_c 15.195
_cell_angle_alpha 90.00
_cell_angle_beta 90.00
_cell_angle_gamma 90.00
_space_group_name_H-M_alt 'I 4/m m m'
_space_group_IT_number 139
_space_group_name_Hall '-I 4 2'
loop_
_atom_site_label
_atom_site_type_symbol
_atom_site_fract_x
_atom_site_fract_y
_atom_site_fract_z
La1 La 0.000 0.000 0.125
Tm1 Tm 0.000 0.000 0.500
Se1 Se 0.000 0.000 0.317
S1 S 0.000 0.500 0.000

(2)
# LaUSe2S GGA-PBE optimized geometry
# * VASP energy: -142.198 eV per cell
# * formation energy without anion corrections: -1.65 eV/atom
# * ρ: 7.045 Mg/m³
data_LaUSe2S
_cell_length_a 4.097
_cell_length_b 13.433
_cell_length_c 9.711
_cell_angle_alpha 90.00
_cell_angle_beta 90.00
_cell_angle_gamma 90.00
_space_group_name_H-M_alt 'C m c m'
_space_group_IT_number 63
_space_group_name_Hall '-C 2c 2'
loop_
_atom_site_label
_atom_site_type_symbol
_atom_site_fract_x
_atom_site_fract_y
_atom_site_fract_z
La1 La 0.000 0.238 0.250
U1 U 0.000 0.500 0.000
Se1 Se 0.000 0.144 0.565
S1 S 0.000 0.414 0.750

(3)
# LaW2SeS GGA-PBE optimized geometry
# * VASP energy: -34.134 eV per cell
# * formation energy without anion corrections: 0.86 eV/atom
# * ρ: 8.412 Mg/m³
data_LaW2SeS
_cell_length_a 4.573
_cell_length_b 4.573
_cell_length_c 5.831
_cell_angle_alpha 90.00
_cell_angle_beta 90.00
_cell_angle_gamma 90.00
_space_group_name_H-M_alt 'P 4/m m m'
_space_group_IT_number 123
_space_group_name_Hall '-P 4 2'
loop_
_atom_site_label
_atom_site_type_symbol
_atom_site_fract_x
_atom_site_fract_y
_atom_site_fract_z
La1 La 0.000 0.000 0.000
W1 W 0.000 0.500 0.500
Se1 Se 0.500 0.500 0.500
S1 S 0.500 0.500 0.000

(4)
# La2Y2Se2S3 GGA-PBE optimized geometry
# * VASP energy: -115.730 eV per cell
# * formation energy without anion corrections: -1.75 eV/atom
# * ρ: 5.159 Mg/m³
data_La2Y2Se2S3
_cell_length_a 5.416
_cell_length_b 5.416
_cell_length_c 15.579
_cell_angle_alpha 90.00
_cell_angle_beta 90.00
_cell_angle_gamma 90.00
_space_group_name_H-M_alt 'I 4/m m m'
_space_group_IT_number 139
_space_group_name_Hall '-I 4 2'
loop_
_atom_site_label
_atom_site_type_symbol
_atom_site_fract_x
_atom_site_fract_y
_atom_site_fract_z
La1 La 0.000 0.000 0.199
Y1 Y 0.000 0.500 0.000
Se1 Se 0.000 0.000 0.399
S1 S 0.000 0.000 0.000
S2 S 0.000 0.500 0.250